Computed, not measured: a relaxed structure of La2RhF at the PBE level of DFT.

Output
crystal system	tetragonal
relative energy among the computed polymorphs	232	meV/atom
total magnetic moment	0.0	Bohr magnetons per cell
energy relative to the elements, uncorrected	-1.505	eV per atom
electronic total energy	-6.274	eV per atom
ρ	5.96	g/cm³
V	27.9	Å³/atom

a = 5.8259 Å, b = 5.8259 Å, c = 7.7518 Å
α = 67.93°, β = 67.93°, γ = 90.00°
Positions (direct):
F (0.5000, 0.5000, 0.0000)
F (0.2500, 0.7500, 0.5000)
Rh (0.0000, 0.0000, 0.0000)
Rh (0.7500, 0.2500, 0.5000)
La (0.5989, 0.1250, 0.2500)
La (0.1511, 0.6250, 0.2500)
La (0.3750, 0.4011, 0.7500)
La (0.8750, 0.8489, 0.7500)